# 1
The following is a DFT calculation (PBE-GGA) of crystalline CsSrTa2O7 at its relaxed geometry.

The uncorrected formation energy is -2.615 eV per atom. For the total magnetization, the calculation gives 0.000 μB per formula unit. The density comes out at 5.938 g/cm3.

The space group is I-4m2 (No. 119) and the conventional cell measures 3.985, 3.985 and 24.462 Å, with angles of 90.00, 90.00 and 90.00 degrees. The distinct sites, in fractional coordinates, are Cs at (0.000, 0.000, 0.000), Sr at (0.000, 0.500, 0.750), Ta at (0.000, 0.500, 0.159), O at (0.000, 0.000, 0.173), O at (0.000, 0.000, 0.327), O at (0.000, 0.500, 0.085) and O at (0.000, 0.500, 0.250).

---

# 2
The following is a DFT calculation (PBE-GGA) of crystalline Cs3Sr2TaO6 at its relaxed geometry.

The uncorrected formation energy is -2.289 eV per atom. For the total magnetization, the calculation gives 0.000 μB per formula unit. The density comes out at 6.073 g/cm3.

The space group is C2/m (No. 12) and the conventional cell measures 6.290, 10.898 and 7.092 Å, with angles of 90.00, 106.83 and 90.00 degrees. The distinct sites, in fractional coordinates, are Cs at (0.000, 0.000, 0.000), Cs at (0.000, 0.334, 0.000), Sr at (0.000, 0.167, 0.500), Ta at (0.000, 0.500, 0.500), O at (0.192, 0.364, 0.666) and O at (0.216, 0.500, 0.329).

---

# 3
The following is a DFT calculation (PBE-GGA) of crystalline Cs2SrTc2O7 at its relaxed geometry.

The uncorrected formation energy is -1.750 eV per atom. For the total magnetization, the calculation gives 0.013 μB per formula unit. The density comes out at 5.688 g/cm3.

The space group is I4/mmm (No. 139) and the conventional cell measures 4.021, 4.021 and 23.885 Å, with angles of 90.00, 90.00 and 90.00 degrees. The distinct sites, in fractional coordinates, are Cs at (0.000, 0.000, 0.184), Sr at (0.000, 0.000, 0.000), Tc at (0.000, 0.000, 0.418), O at (0.000, 0.000, 0.340), O at (0.000, 0.000, 0.500) and O at (0.000, 0.500, 0.078).

---

# 4
The following is a DFT calculation (PBE-GGA) of crystalline CsSrTc2O8 at its relaxed geometry.

The uncorrected formation energy is -1.855 eV per atom. For the total magnetization, the calculation gives 1.105 μB per formula unit. The density comes out at 3.154 g/cm3.

The space group is P-3m1 (No. 164) and the conventional cell measures 6.2063, 6.2063 and 8.5940 Å, with angles of 90.00, 90.00 and 120.00 degrees. The distinct sites, in fractional coordinates, are Cs at (0.0000, 0.0000, 0.0000), Sr at (0.0000, 0.0000, 0.5000), Tc at (0.3333, 0.6667, 0.7540), O at (0.1778, 0.3556, 0.6865) and O at (0.3333, 0.6667, 0.9571).

---

# 5
The following is a DFT calculation (PBE-GGA) of crystalline Cs2Sr2TcO6 at its relaxed geometry.

The uncorrected formation energy is -1.917 eV per atom. For the total magnetization, the calculation gives 1.008 μB per formula unit. The density comes out at 4.729 g/cm3.

The space group is C2/m (No. 12) and the conventional cell measures 6.192, 10.469 and 7.121 Å, with angles of 90.00, 104.97 and 90.00 degrees. The distinct sites, in fractional coordinates, are Cs at (0.000, 0.167, 0.000), Sr at (0.000, 0.337, 0.500), Tc at (0.000, 0.000, 0.500), O at (0.182, 0.136, 0.658) and O at (0.212, 0.000, 0.335).

---

# 6
The following is a DFT calculation (PBE-GGA) of crystalline CsSrTcO4 at its relaxed geometry.

The uncorrected formation energy is -1.896 eV per atom. For the total magnetization, the calculation gives 2.000 μB per formula unit. The density comes out at 4.093 g/cm3.

The space group is P2_1/m (No. 11) and the conventional cell measures 6.428, 6.263 and 8.037 Å, with angles of 90.00, 106.38 and 90.00 degrees. The distinct sites, in fractional coordinates, are Cs at (0.215, 0.250, 0.433), Sr at (0.303, 0.250, 0.953), Tc at (0.230, 0.750, 0.157), O at (0.046, 0.750, 0.937), O at (0.062, 0.750, 0.306) and O at (0.437, 0.531, 0.178).